{
  "formula": "CdW2Cl",
  "functional": "GGA-PBE",
  "state": "relaxed",
  "dos_ef_per_ev_atom": 0.666,
  "m_tot_mub_per_atom": 0.000,
  "raw_formation_energy_mev_per_atom": 1085,
  "final_energy_ev_per_cell": -24.33,
  "sg": "P4/mmm",
  "cell": [[2.785, 0.000, 0.000], [0.000, 2.785, 0.000], [0.000, 0.000, 8.905]],
  "species": ["Cd", "W", "W", "Cl"],
  "frac_coords": [[0.000, 0.000, 0.000], [0.500, 0.500, 0.260], [0.500, 0.500, 0.740], [0.000, 0.000, 0.500]]
}